--- A ---
# Ca3SiW

A relaxed structure of Ca3SiW (PBE-GGA, Alexandria via LeMat-Bulk).

The space group is Pm-3m (No. 221) and the conventional cell measures 5.598, 5.598 and 5.598 Å, with angles of 90.00, 90.00 and 90.00 degrees. Symmetry generates all atoms from Ca at (0.000, 0.000, 0.500), Si at (0.000, 0.000, 0.000) and W at (0.500, 0.500, 0.500).

For the calculated density, the calculation gives 3.14 Mg/m³. For the total magnetization, the calculation gives 5.866 μB per cell. The density of states at the Fermi level is 2.42 states/eV per cell.

--- B ---
# Ca3SiW

A relaxed structure of Ca3SiW (PBE-GGA, Alexandria via LeMat-Bulk).

The space group is Pm-3m (No. 221) and the conventional cell measures 5.449, 5.449 and 5.449 Å, with angles of 90.00, 90.00 and 90.00 degrees. Symmetry generates all atoms from Ca at (0.000, 0.000, 0.500), Si at (0.500, 0.500, 0.500) and W at (0.000, 0.000, 0.000).

For the calculated density, the calculation gives 3.41 Mg/m³. For the total magnetization, the calculation gives 0.000 μB per cell. The density of states at the Fermi level is 5.15 states/eV per cell.

Calculated relative energies: A 0.000; B 0.286, given in eV/atom

--- A ---
# CaYSi3

A relaxed structure of CaYSi3 (PBE-GGA, Alexandria via LeMat-Bulk).

The space group is Cmcm (No. 63) and the conventional cell measures 4.210, 25.031 and 3.948 Å, with angles of 90.00, 90.00 and 90.00 degrees. Symmetry generates all atoms from Ca at (0.000, 0.203, 0.250), Y at (0.000, 0.069, 0.750), Si at (0.000, 0.328, 0.250), Si at (0.000, 0.383, 0.750) and Si at (0.000, 0.476, 0.750).

For the calculated density, the calculation gives 3.41 Mg/m³. For the total magnetization, the calculation gives 0.000 μB per cell. The density of states at the Fermi level is 13.10 states/eV per cell.

--- B ---
# CaYSi3

A relaxed structure of CaYSi3 (PBE-GGA, Alexandria via LeMat-Bulk).

The space group is Pm-3m (No. 221) and the conventional cell measures 5.252, 5.252 and 5.252 Å, with angles of 90.00, 90.00 and 90.00 degrees. Symmetry generates all atoms from Ca at (0.000, 0.000, 0.000), Y at (0.500, 0.500, 0.500) and Si at (0.000, 0.500, 0.500).

For the calculated density, the calculation gives 2.44 Mg/m³. For the total magnetization, the calculation gives 0.000 μB per cell. The density of states at the Fermi level is 3.76 states/eV per cell.

--- C ---
# CaYSi3

A relaxed structure of CaYSi3 (PBE-GGA, Alexandria via LeMat-Bulk).

The space group is Pm-3m (No. 221) and the conventional cell measures 5.061, 5.061 and 5.061 Å, with angles of 90.00, 90.00 and 90.00 degrees. Symmetry generates all atoms from Ca at (0.000, 0.000, 0.000), Y at (0.500, 0.500, 0.500) and Si at (0.000, 0.000, 0.500).

For the calculated density, the calculation gives 2.73 Mg/m³. For the total magnetization, the calculation gives 0.000 μB per cell. The density of states at the Fermi level is 3.50 states/eV per cell.

Calculated relative energies: A 0.000; B 1.010; C 1.355, given in eV/atom

--- A ---
# Ca2ZnSi2

A relaxed structure of Ca2ZnSi2 (PBE-GGA, Alexandria via LeMat-Bulk).

The space group is C2/c (No. 15) and the conventional cell measures 9.937, 5.846 and 7.696 Å, with angles of 90.00, 101.60 and 90.00 degrees. Symmetry generates all atoms from Ca at (0.148, 0.136, 0.145), Zn at (0.000, 0.410, 0.750) and Si at (0.138, 0.353, 0.506).

For the calculated density, the calculation gives 3.06 Mg/m³. For the total magnetization, the calculation gives 0.000 μB per cell. The density of states at the Fermi level is 1.62 states/eV per cell.

--- B ---
# Ca2ZnSi2

A relaxed structure of Ca2ZnSi2 (PBE-GGA, Alexandria via LeMat-Bulk).

The space group is I4/mmm (No. 139) and the conventional cell measures 5.887, 5.887 and 7.319 Å, with angles of 90.00, 90.00 and 90.00 degrees. Symmetry generates all atoms from Ca at (0.000, 0.500, 0.250), Zn at (0.000, 0.000, 0.000) and Si at (0.000, 0.000, 0.337).

For the calculated density, the calculation gives 2.64 Mg/m³. For the total magnetization, the calculation gives 0.000 μB per cell. The density of states at the Fermi level is 7.72 states/eV per cell.

--- C ---
# Ca2ZnSi2

A relaxed structure of Ca2ZnSi2 (PBE-GGA, Alexandria via LeMat-Bulk).

The space group is C2/m (No. 12) and the conventional cell measures 10.925, 4.324 and 10.597 Å, with angles of 90.00, 117.14 and 90.00 degrees. Symmetry generates all atoms from Ca at (0.102, 0.000, 0.405), Ca at (0.210, 0.500, 0.158), Zn at (0.069, 0.500, 0.820), Si at (0.044, 0.000, 0.917) and Si at (0.113, 0.500, 0.607).

For the calculated density, the calculation gives 3.01 Mg/m³. For the total magnetization, the calculation gives 0.000 μB per cell. The density of states at the Fermi level is 8.07 states/eV per cell.

--- D ---
# Ca2ZnSi2

A relaxed structure of Ca2ZnSi2 (PBE-GGA, Alexandria via LeMat-Bulk).

The space group is P4/mbm (No. 127) and the conventional cell measures 6.912, 6.912 and 4.558 Å, with angles of 90.00, 90.00 and 90.00 degrees. Symmetry generates all atoms from Ca at (0.174, 0.326, 0.000), Zn at (0.000, 0.000, 0.500) and Si at (0.124, 0.624, 0.500).

For the calculated density, the calculation gives 3.08 Mg/m³. For the total magnetization, the calculation gives 0.000 μB per cell. The density of states at the Fermi level is 4.69 states/eV per cell.

Calculated relative energies: A 0.037; B 0.432; C 0.000; D 0.083, given in eV/atom

--- A ---
# CaZn3Si

A relaxed structure of CaZn3Si (PBE-GGA, Alexandria via LeMat-Bulk).

The space group is Pm-3m (No. 221) and the conventional cell measures 4.806, 4.806 and 4.806 Å, with angles of 90.00, 90.00 and 90.00 degrees. Symmetry generates all atoms from Ca at (0.000, 0.000, 0.000), Zn at (0.000, 0.500, 0.500) and Si at (0.500, 0.500, 0.500).

For the calculated density, the calculation gives 3.96 Mg/m³. For the total magnetization, the calculation gives 0.000 μB per cell. The density of states at the Fermi level is 2.40 states/eV per cell.

--- B ---
# CaZn3Si

A relaxed structure of CaZn3Si (PBE-GGA, Alexandria via LeMat-Bulk).

The space group is Pm-3m (No. 221) and the conventional cell measures 5.403, 5.403 and 5.403 Å, with angles of 90.00, 90.00 and 90.00 degrees. Symmetry generates all atoms from Ca at (0.000, 0.000, 0.000), Zn at (0.000, 0.000, 0.500) and Si at (0.500, 0.500, 0.500).

For the calculated density, the calculation gives 2.78 Mg/m³. For the total magnetization, the calculation gives 0.000 μB per cell. The density of states at the Fermi level is 6.61 states/eV per cell.

Calculated relative energies: A 0.000; B 1.048, given in eV/atom

--- A ---
# CaZr3Si

A relaxed structure of CaZr3Si (PBE-GGA, Alexandria via LeMat-Bulk).

The space group is Pm-3m (No. 221) and the conventional cell measures 4.977, 4.977 and 4.977 Å, with angles of 90.00, 90.00 and 90.00 degrees. Symmetry generates all atoms from Ca at (0.000, 0.000, 0.000), Zr at (0.000, 0.000, 0.500) and Si at (0.500, 0.500, 0.500).

For the calculated density, the calculation gives 4.60 Mg/m³. For the total magnetization, the calculation gives 0.007 μB per cell. The density of states at the Fermi level is 9.50 states/eV per cell.

--- B ---
# CaZr3Si

A relaxed structure of CaZr3Si (PBE-GGA, Alexandria via LeMat-Bulk).

The space group is Pm-3m (No. 221) and the conventional cell measures 5.118, 5.118 and 5.118 Å, with angles of 90.00, 90.00 and 90.00 degrees. Symmetry generates all atoms from Ca at (0.000, 0.000, 0.000), Zr at (0.000, 0.500, 0.500) and Si at (0.500, 0.500, 0.500).

For the calculated density, the calculation gives 4.24 Mg/m³. For the total magnetization, the calculation gives 0.000 μB per cell. The density of states at the Fermi level is 6.21 states/eV per cell.

Calculated relative energies: A 1.591; B 0.000, given in eV/atom